1.
VASP calculation (PBE) on crystalline CaV3As at its relaxed geometry.

Summary:
- energy above the most stable polymorph in this dataset (meV per atom) = 0.0
- total magnetic moment (μB/atom) = 0.5982
- energy of formation (kcal/mol of atoms) = 13.64
- SG = Pm-3m

```
CaV3As
1.0
-1.615 3.216 -2.976
-2.897 -3.163 -1.846
-3.288 1.208 3.089
As Ca V
1 1 3
Direct
0.000 0.000 0.000 As
0.500 0.500 0.500 Ca
0.000 0.500 0.000 V
0.000 0.000 0.500 V
0.500 0.000 0.000 V
```

2.
VASP calculation (PBE) on crystalline Tb2CdOs at its relaxed geometry.

Summary:
- energy above the most stable polymorph in this dataset (meV per atom) = 93.0
- total magnetic moment (μB/atom) = 0.0000
- energy of formation (kcal/mol of atoms) = -4.47
- SG = Fm-3m

```
Tb2CdOs
1.0
-4.229 -1.921 -1.946
0.103 -2.283 -4.488
-0.593 -4.992 -0.300
Tb Os Cd
2 1 1
Direct
0.250 0.250 0.250 Tb
0.750 0.750 0.750 Tb
0.000 0.000 0.000 Os
0.500 0.500 0.500 Cd
```

3.
VASP calculation (PBE) on crystalline Zr3PbF at its relaxed geometry.

Summary:
- energy above the most stable polymorph in this dataset (meV per atom) = 1675.9
- formation energy without anion corrections (eV/f.u.) = 5.4
- total magnetic moment (μB/atom) = 1.1246
- SG = Pm-3m

```
Zr3PbF
1.0
-4.387 1.678 -2.920
2.266 -2.077 -4.598
-2.492 -4.843 0.960
Pb Zr F
1 3 1
Direct
0.000 0.000 0.000 Pb
0.000 0.500 0.000 Zr
0.000 0.000 0.500 Zr
0.500 0.000 0.000 Zr
0.500 0.500 0.500 F
```

4.
VASP calculation (PBE) on crystalline La6Pr5Sc at its relaxed geometry.

Summary:
- total magnetic moment (μB/atom) = 0.0000
- energy of formation (kcal/mol of atoms) = 0.55
- SG = Immm

```
La6Pr5Sc
1.0
5.040 0.021 -1.470
-1.419 9.088 -4.733
0.103 -0.814 9.710
Pr Sc La
5 1 6
Direct
0.664 0.164 0.329 Pr
0.333 0.333 0.666 Pr
0.000 0.500 0.000 Pr
0.667 0.667 0.334 Pr
0.336 0.836 0.671 Pr
0.000 0.000 0.000 Sc
0.836 0.591 0.673 La
0.836 0.082 0.673 La
0.500 0.756 0.000 La
0.500 0.244 0.000 La
0.164 0.918 0.327 La
0.164 0.409 0.327 La
```